A relaxed Tm2TiMnO6 crystal, computed with PBE+U.

a b c (Å): 5.0549 5.1791 5.1791
angles (deg): 90.00 90.00 90.00
With the nearest neighbours (Å) after each atom.
Fractional coordinates of all 10 atoms:
Tm 0.9816 0.5000 0.0000  4 O 2.20
Tm 0.9816 0.0000 0.5000  4 O 2.20
Ti 0.5915 0.0000 0.0000  5 O 1.84-1.91
Mn 0.5515 0.5000 0.5000  5 O 1.99-2.12
O 0.7390 0.2407 0.2407  1 Ti 1.91, 1 Mn 2.12
O 0.7390 0.2407 0.7593  1 Ti 1.91, 1 Mn 2.12
O 0.1576 0.5000 0.5000  1 Mn 1.99
O 0.2269 0.0000 0.0000  1 Ti 1.84
O 0.7390 0.7593 0.7593  1 Ti 1.91, 1 Mn 2.12
O 0.7390 0.7593 0.2407  1 Ti 1.91, 1 Mn 2.12

Output
**Crystal system**: tetragonal
**DFT total energy**: -8.294 eV per atom
**Calculated density**: 6.6 Mg/m³
**M_tot**: 5.00 μB/cell